PBE-GGA NaCuSn, optimized geometry; total moment = 0.00 μB per formula unit; calculated volume = 68.0 Å³ per cell; formation energy = 13 meV/atom
1.0
-0.5890 1.2763 3.2427
-3.4848 -0.2067 -0.5516
2.0223 -5.5991 0.6450
Cu Na Sn
1 1 1
direct
0.2994 0.2994 0.5988
0.9969 0.9969 0.9938
0.7037 0.7037 0.4074